(1)
Material: Si2SnO6
Method: DFT, PBE
State: optimized geometry

Results
SG: C2/c, No. 15
Formation energy from raw total energies: -226.7 kJ/mol of atoms

Lattice parameters (Å, degrees): 6.6783 6.6783 5.4128 104.24 104.24 85.04
Fractional positions:
Si 0.1161 0.2824 0.2416
Si 0.2824 0.1161 0.7416
Si 0.7176 0.8839 0.2584
Si 0.8839 0.7176 0.7584
Sn 0.3896 0.6104 0.7500
Sn 0.6104 0.3896 0.2500
O 0.1056 0.5985 0.8014
O 0.1382 0.1504 0.4645
O 0.1504 0.1382 0.9645
O 0.3119 0.4496 0.3545
O 0.4015 0.8944 0.6986
O 0.4496 0.3119 0.8545
O 0.5504 0.6881 0.1455
O 0.5985 0.1056 0.3014
O 0.6881 0.5504 0.6455
O 0.8496 0.8618 0.0355
O 0.8618 0.8496 0.5355
O 0.8944 0.4015 0.1986

(2)
Material: LiCu2PSe4
Method: DFT, PBE
State: optimized geometry

Results
SG: I-42m, No. 121
Formation energy from raw total energies: -34.9 kJ/mol of atoms

Lattice parameters (Å, degrees): 6.6401 6.6401 6.6401 128.39 128.39 75.99
Fractional positions:
Li 0.0000 0.0000 0.0000
Cu 0.2500 0.7500 0.5000
Cu 0.7500 0.2500 0.5000
P 0.5000 0.5000 0.0000
Se 0.1459 0.1459 0.5476
Se 0.4017 0.8541 0.0000
Se 0.5983 0.5983 0.4524
Se 0.8541 0.4017 0.0000

(3)
Material: YGaTcPb2
Method: DFT, PBE
State: optimized geometry

Results
SG: P4/mmm, No. 123
ΔE_f: 1.4 eV per formula unit

Lattice parameters (Å, degrees): 5.3180 5.3180 4.8271 90.00 90.00 90.00
Fractional positions:
Y 0.0000 0.0000 0.0000
Ga 0.5000 0.5000 0.0000
Tc 0.5000 0.5000 0.5000
Pb 0.0000 0.5000 0.5000
Pb 0.5000 0.0000 0.5000

(4)
Material: La2ZrMnS6
Method: DFT, PBE
State: optimized geometry

Results
SG: P2_1/c, No. 14
Formation energy from raw total energies: -163.0 kJ/mol of atoms

Lattice parameters (Å, degrees): 6.5490 7.2315 11.4781 90.00 123.69 90.00
Fractional positions:
La 0.2096 0.0979 0.2459
La 0.2096 0.4021 0.7459
La 0.7904 0.5979 0.2541
La 0.7904 0.9021 0.7541
Zr 0.5000 0.0000 0.0000
Zr 0.5000 0.5000 0.5000
Mn 0.0000 0.0000 0.5000
Mn 0.0000 0.5000 0.0000
S 0.1229 0.1870 0.9432
S 0.1229 0.3130 0.4432
S 0.2623 0.6897 0.9414
S 0.2623 0.8103 0.4414
S 0.3654 0.0311 0.7455
S 0.3654 0.4689 0.2455
S 0.6346 0.5311 0.7545
S 0.6346 0.9689 0.2545
S 0.7377 0.1897 0.5586
S 0.7377 0.3103 0.0586
S 0.8771 0.6870 0.5568
S 0.8771 0.8130 0.0568

(5)
Material: Y2PdBr
Method: DFT, PBE
State: optimized geometry

Results
SG: I-42d, No. 122
Formation energy from raw total energies: -62.3 kJ/mol of atoms
Relative energy among the computed polymorphs: 308.1 meV per atom

Lattice parameters (Å, degrees): 6.5741 6.5741 6.5741 109.67 109.67 109.08
Fractional positions:
Y 0.1076 0.1250 0.4826
Y 0.3750 0.8924 0.0174
Y 0.6424 0.6250 0.5174
Y 0.8750 0.3576 0.9826
Pd 0.0000 0.0000 0.0000
Pd 0.7500 0.2500 0.5000
Br 0.2500 0.7500 0.5000
Br 0.5000 0.5000 0.0000

(6)
Material: YHoCu4
Method: DFT, PBE
State: optimized geometry

Results
SG: F-43m, No. 216
ΔE_f: -1.1 eV per formula unit
Relative energy among the computed polymorphs: 99.0 meV per atom

Lattice parameters (Å, degrees): 5.2597 5.2597 5.2597 60.00 60.00 60.00
Fractional positions:
Y 0.0000 0.0000 0.0000
Ho 0.2500 0.2500 0.2500
Cu 0.1253 0.6249 0.6249
Cu 0.6249 0.1253 0.6249
Cu 0.6249 0.6249 0.1253
Cu 0.6249 0.6249 0.6249

(7)
Material: ScCd2SbRh
Method: DFT, PBE
State: optimized geometry

Results
SG: P4/mmm, No. 123
Formation energy from raw total energies: 54.6 kJ/mol of atoms

Lattice parameters (Å, degrees): 5.3443 5.3443 4.8560 90.00 90.00 90.00
Fractional positions:
Sc 0.0000 0.0000 0.0000
Cd 0.0000 0.5000 0.5000
Cd 0.5000 0.0000 0.5000
Sb 0.5000 0.5000 0.5000
Rh 0.5000 0.5000 0.0000

(8)
Material: Pm5Ir2Pb5
Method: DFT, PBE
State: optimized geometry

Results
SG: C2/m, No. 12
ΔE_f: -6.2 eV per formula unit

Lattice parameters (Å, degrees): 8.4899 8.4899 10.8016 125.85 125.85 31.94
Fractional positions:
Pm 0.0000 0.0000 0.0000
Pm 0.1417 0.1417 0.8560
Pm 0.1645 0.1645 0.5110
Pm 0.8355 0.8355 0.4890
Pm 0.8583 0.8583 0.1440
Ir 0.3497 0.3497 0.9463
Ir 0.6503 0.6503 0.0537
Pb 0.2456 0.2456 0.2416
Pb 0.4485 0.4485 0.7535
Pb 0.5000 0.5000 0.5000
Pb 0.5515 0.5515 0.2465
Pb 0.7544 0.7544 0.7584

In order of appearance, calculated density = 3.97 4.57 8.16 4.53 5.53 8.20 5.92 10.91 g/cm3.